! Dy4As2C (PBE, optimized geometry); values from VASP
! Calculated total energy (eV/atom): -6.141
! Size of the total moment (Bohr magnetons per cell): 1.8
! Formation enthalpy at 0 K (eV per formula unit): -6.054
! Theoretical density (Mg/m³): 8.6
&SYSTEM
  ibrav = 0, nat = 7, ntyp = 3
/
ATOMIC_SPECIES
Dy 162.50 Dy.upf
As 74.92 As.upf
C 12.01 C.upf
CELL_PARAMETERS angstrom
5.9172 -1.9182 0.0000
5.9172 1.9182 0.0000
-3.6888 0.0000 6.9451
ATOMIC_POSITIONS crystal
Dy 0.0656 0.0656 0.3500
Dy 0.3488 0.3488 0.9386
Dy 0.6512 0.6512 0.0614
Dy 0.9344 0.9344 0.6500
As 0.3477 0.3477 0.3131
As 0.6523 0.6523 0.6869
C 0.0000 0.0000 0.0000

---

! Dy12As3C5 (PBE, optimized geometry); values from VASP
! Calculated total energy (eV/atom): -6.261
! Size of the total moment (Bohr magnetons per cell): 0.0
! Formation enthalpy at 0 K (eV per formula unit): -9.917
! Theoretical density (Mg/m³): 8.1
&SYSTEM
  ibrav = 0, nat = 80, ntyp = 3
/
ATOMIC_SPECIES
Dy 162.50 Dy.upf
As 74.92 As.upf
C 12.01 C.upf
CELL_PARAMETERS angstrom
-7.7123 7.7123 7.7123
7.7123 -7.7123 7.7123
7.7123 7.7123 -7.7123
ATOMIC_POSITIONS crystal
Dy 0.0241 0.2051 0.1186
Dy 0.0241 0.3189 0.9055
Dy 0.0866 0.7051 0.6811
Dy 0.0866 0.8814 0.4055
Dy 0.0945 0.6186 0.4134
Dy 0.0945 0.9759 0.6811
Dy 0.1186 0.0241 0.2051
Dy 0.1186 0.5945 0.9134
Dy 0.1811 0.2051 0.5866
Dy 0.1811 0.4759 0.5945
Dy 0.2051 0.1186 0.0241
Dy 0.2051 0.5866 0.1811
Dy 0.2949 0.3189 0.9134
Dy 0.2949 0.4759 0.3814
Dy 0.3189 0.9055 0.0241
Dy 0.3189 0.9134 0.2949
Dy 0.3814 0.2949 0.4759
Dy 0.3814 0.5866 0.9055
Dy 0.4055 0.0866 0.8814
Dy 0.4055 0.8189 0.5241
Dy 0.4134 0.0945 0.6186
Dy 0.4134 0.8189 0.7949
Dy 0.4759 0.3814 0.2949
Dy 0.4759 0.5945 0.1811
Dy 0.5241 0.4055 0.8189
Dy 0.5241 0.6186 0.7051
Dy 0.5866 0.1811 0.2051
Dy 0.5866 0.9055 0.3814
Dy 0.5945 0.1811 0.4759
Dy 0.5945 0.9134 0.1186
Dy 0.6186 0.4134 0.0945
Dy 0.6186 0.7051 0.5241
Dy 0.6811 0.0866 0.7051
Dy 0.6811 0.0945 0.9759
Dy 0.7051 0.5241 0.6186
Dy 0.7051 0.6811 0.0866
Dy 0.7949 0.4134 0.8189
Dy 0.7949 0.8814 0.9759
Dy 0.8189 0.5241 0.4055
Dy 0.8189 0.7949 0.4134
Dy 0.8814 0.4055 0.0866
Dy 0.8814 0.9759 0.7949
Dy 0.9055 0.0241 0.3189
Dy 0.9055 0.3814 0.5866
Dy 0.9134 0.1186 0.5945
Dy 0.9134 0.2949 0.3189
Dy 0.9759 0.6811 0.0945
Dy 0.9759 0.7949 0.8814
As 0.1250 0.2500 0.3750
As 0.1250 0.3750 0.7500
As 0.2500 0.3750 0.1250
As 0.2500 0.8750 0.6250
As 0.3750 0.1250 0.2500
As 0.3750 0.7500 0.1250
As 0.6250 0.2500 0.8750
As 0.6250 0.8750 0.7500
As 0.7500 0.1250 0.3750
As 0.7500 0.6250 0.8750
As 0.8750 0.6250 0.2500
As 0.8750 0.7500 0.6250
C 0.0000 0.0000 0.0000
C 0.0000 0.0000 0.5000
C 0.0000 0.5000 0.0000
C 0.0000 0.5000 0.5000
C 0.1250 0.7500 0.8750
C 0.1250 0.8750 0.2500
C 0.2500 0.1250 0.8750
C 0.2500 0.6250 0.3750
C 0.3750 0.2500 0.6250
C 0.3750 0.6250 0.7500
C 0.5000 0.0000 0.0000
C 0.5000 0.0000 0.5000
C 0.5000 0.5000 0.0000
C 0.5000 0.5000 0.5000
C 0.6250 0.3750 0.2500
C 0.6250 0.7500 0.3750
C 0.7500 0.3750 0.6250
C 0.7500 0.8750 0.1250
C 0.8750 0.1250 0.7500
C 0.8750 0.2500 0.1250

---

! DyAsC (PBE, optimized geometry); values from VASP
! Calculated total energy (eV/atom): -6.188
! Size of the total moment (Bohr magnetons per cell): 0.0
! Formation enthalpy at 0 K (eV per formula unit): -0.089
! Theoretical density (Mg/m³): 7.3
&SYSTEM
  ibrav = 0, nat = 6, ntyp = 3
/
ATOMIC_SPECIES
Dy 162.50 Dy.upf
As 74.92 As.upf
C 12.01 C.upf
CELL_PARAMETERS angstrom
6.0370 -1.6288 0.0000
6.0370 1.6288 0.0000
-0.2619 0.0000 5.7413
ATOMIC_POSITIONS crystal
Dy 0.1719 0.1719 0.2696
Dy 0.8281 0.8281 0.7304
As 0.1009 0.1009 0.7512
As 0.8991 0.8991 0.2488
C 0.3580 0.3580 0.4459
C 0.6420 0.6420 0.5541